DFT (PBE) results for a relaxed MnTlZn2 crystal.

Values from the calculation:
V = 18.398 A^3/atom
E above lowest polymorph = 0.359 eV per formula unit
Electronic total energy = -3.222 eV per atom
Formation energy from the elements = 115 kJ/mol of formula units

abc: 4.806 4.806 4.990
angles: 101.23 101.23 40.75
Fractional positions:
1 Mn 0.000 0.000 0.000
2 Tl 0.243 0.243 0.725
3 Zn 0.479 0.479 0.421
4 Zn 0.739 0.739 0.216

=====

DFT (PBE) results for a relaxed Pu2CdPd9 crystal.

Values from the calculation:
V = 17.343 A^3/atom
Electronic total energy = -6.822 eV per atom
Formation energy from the elements = -535 kJ/mol of formula units

abc: 4.122 4.122 12.246
angles: 90.00 90.00 90.00
Fractional positions:
1 Pu 0.000 0.000 0.172
2 Pu 0.000 0.000 0.828
3 Cd 0.000 0.000 0.500
4 Pd 0.000 0.500 0.000
5 Pd 0.000 0.500 0.335
6 Pd 0.000 0.500 0.665
7 Pd 0.500 0.000 0.000
8 Pd 0.500 0.000 0.335
9 Pd 0.500 0.000 0.665
10 Pd 0.500 0.500 0.167
11 Pd 0.500 0.500 0.500
12 Pd 0.500 0.500 0.833

=====

DFT (PBE) results for a relaxed Al2Au3 crystal.

Values from the calculation:
V = 18.477 A^3/atom
Electronic total energy = -3.682 eV per atom
Formation energy from the elements = -106 kJ/mol of formula units

abc: 6.002 6.002 6.002
angles: 70.05 70.05 70.05
Fractional positions:
1 Al 0.101 0.101 0.101
2 Al 0.399 0.399 0.399
3 Al 0.601 0.601 0.601
4 Al 0.899 0.899 0.899
5 Au 0.012 0.750 0.488
6 Au 0.250 0.512 0.988
7 Au 0.488 0.012 0.750
8 Au 0.512 0.988 0.250
9 Au 0.750 0.488 0.012
10 Au 0.988 0.250 0.512